No. 1
ErTmThZn: optimized geometry, GGA-PBE.

Geometry as POSCAR:
```
ErTmThZn
1.0
3.538 0.000 0.000
0.000 3.538 0.000
0.000 0.000 8.482
Er Tm Th Zn
1 1 1 1
Direct
0.000 0.000 0.000 Er
0.000 0.000 0.581 Tm
0.500 0.500 0.291 Th
0.500 0.500 0.789 Zn
```

Values from the calculation:
Energy of formation   -16 kJ per mole of atoms
Total magnetization   0.000 Bohr magnetons per cell
Mass density   9.91 Mg/m³
DFT total energy   -4.602 eV per atom
V   106.2 Å³/f.u.

***

No. 2
Er3Tm6Th2Zr: optimized geometry, GGA-PBE.

Geometry as POSCAR:
```
Er3Tm6Th2Zr
1.0
3.012 -5.215 0.000
3.012 5.215 0.000
-2.016 0.000 11.388
Er Tm Th Zr
3 6 2 1
Direct
0.000 0.000 0.000 Er
0.334 0.666 0.000 Er
0.666 0.334 0.000 Er
0.088 0.418 0.255 Tm
0.252 0.252 0.745 Tm
0.418 0.088 0.255 Tm
0.582 0.912 0.745 Tm
0.748 0.748 0.255 Tm
0.912 0.582 0.745 Tm
0.167 0.833 0.500 Th
0.833 0.167 0.500 Th
0.500 0.500 0.500 Zr
```

Values from the calculation:
Energy of formation   4 kJ per mole of atoms
Total magnetization   0.000 Bohr magnetons per cell
Mass density   9.61 Mg/m³
DFT total energy   -5.284 eV per atom
V   357.7 Å³/f.u.

***

No. 3
ErThV4: optimized geometry, GGA-PBE.

Geometry as POSCAR:
```
ErThV4
1.0
0.000 3.799 3.799
3.799 0.000 3.799
3.799 3.799 0.000
Er Th V
1 1 4
Direct
0.000 0.000 0.000 Er
0.750 0.750 0.750 Th
0.375 0.375 0.375 V
0.375 0.375 0.876 V
0.375 0.876 0.375 V
0.876 0.375 0.375 V
```

Values from the calculation:
Energy of formation   19 kJ per mole of atoms
Total magnetization   0.000 Bohr magnetons per cell
Mass density   9.13 Mg/m³
DFT total energy   -7.880 eV per atom
V   109.6 Å³/f.u.